Record 1
The following is a GGA+U calculation of an optimized crystal structure of RbSmMnO3, from Alexandria.

abc: 7.674 3.652 9.936
angles: 90.00 111.36 90.00
Fractional coordinates of all 12 atoms:
Rb  0.041  0.250  0.336
Rb  0.959  0.750  0.664
Sm  0.466  0.750  0.642
Sm  0.534  0.250  0.358
Mn  0.397  0.250  0.883
Mn  0.603  0.750  0.117
O  0.266  0.250  0.665
O  0.358  0.750  0.391
O  0.450  0.250  0.101
O  0.550  0.750  0.899
O  0.642  0.250  0.609
O  0.734  0.750  0.335

uncorrected energy	-6.8600	eV/atom

Record 2
The following is a GGA+U calculation of an optimized crystal structure of Sr2CrF6, from Alexandria.

abc: 5.302 5.302 11.230
angles: 90.00 90.00 90.00
Fractional coordinates of all 18 atoms:
Sr  0.000  0.000  0.165
Sr  0.000  0.000  0.835
Sr  0.500  0.500  0.335
Sr  0.500  0.500  0.665
Cr  0.000  0.000  0.500
Cr  0.500  0.500  0.000
F  0.182  0.182  0.344
F  0.182  0.182  0.656
F  0.225  0.225  0.000
F  0.275  0.725  0.500
F  0.318  0.682  0.156
F  0.318  0.682  0.844
F  0.682  0.318  0.156
F  0.682  0.318  0.844
F  0.725  0.275  0.500
F  0.775  0.775  0.000
F  0.818  0.818  0.344
F  0.818  0.818  0.656

ΔE to the lowest computed polymorph	0.012	eV per atom
uncorrected energy	-5.8652	eV/atom